A plane-wave DFT calculation with GGA-PBE was carried out for an optimized crystal structure of LuHfCdIr.

a = 4.8523 Å, b = 4.8523 Å, c = 4.8523 Å
α = 60.00°, β = 60.00°, γ = 60.00°
With the nearest neighbours (Å) after each atom.
Element x y z (fractional)
Hf1 0.5000 0.5000 0.5000  4 Cd 2.97, 4 Ir 2.97
Ir1 0.2500 0.2500 0.2500  4 Hf 2.97, 4 Lu 2.97
Lu1 0.0000 0.0000 0.0000  4 Ir 2.97, 4 Cd 2.97
Cd1 0.7500 0.7500 0.7500  4 Hf 2.97, 4 Lu 2.97

* DFT formation energy: -42.8 kJ per mole of atoms
* DOS at the Fermi energy: 3.75 states/eV per cell
* E: -6.506 eV/atom

---

A plane-wave DFT calculation with GGA-PBE was carried out for an optimized crystal structure of HfCd2MoIr.

a = 5.2454 Å, b = 4.6316 Å, c = 5.2454 Å
α = 90.00°, β = 90.00°, γ = 90.00°
With the nearest neighbours (Å) after each atom.
Element x y z (fractional)
Cd1 0.5000 0.0000 0.0000  2 Hf 2.62
Cd2 0.0000 0.0000 0.5000  2 Hf 2.62
Ir1 0.5000 0.5000 0.5000  8 Cd 3.50, 4 Mo 3.71
Mo1 0.0000 0.5000 0.0000  2 Hf 2.32
Hf1 0.0000 0.0000 0.0000  2 Mo 2.32

* DFT formation energy: 191.9 kJ per mole of atoms
* DOS at the Fermi energy: 6.77 states/eV per cell
* E: -4.306 eV/atom

---

A plane-wave DFT calculation with GGA-PBE was carried out for an optimized crystal structure of HfCdIrO6.

a = 4.8759 Å, b = 4.8759 Å, c = 9.7065 Å
α = 90.00°, β = 90.00°, γ = 90.00°
With the nearest neighbours (Å) after each atom.
Element x y z (fractional)
O1 0.2232 0.7768 0.8173  1 Ir 1.92, 1 Hf 2.12
O2 0.1782 0.8218 0.4919  1 Ir 1.97, 1 Hf 2.10
O3 0.7032 0.7032 0.6907  1 Ir 1.97, 1 Hf 2.06
O4 0.7232 0.7232 0.3173  1 Ir 1.92, 1 Hf 2.12
O5 0.2968 0.2968 0.6907  1 Ir 1.97, 1 Hf 2.06
O6 0.2768 0.2768 0.3173  1 Ir 1.92, 1 Hf 2.12
O7 0.2032 0.7968 0.1907  1 Ir 1.97, 1 Hf 2.06
O8 0.7968 0.2032 0.1907  1 Ir 1.97, 1 Hf 2.06
O9 0.8218 0.1782 0.4919  1 Ir 1.97, 1 Hf 2.10
O10 0.7768 0.2232 0.8173  1 Ir 1.92, 1 Hf 2.12
O11 0.6782 0.6782 0.9919  1 Ir 1.97, 1 Hf 2.10
O12 0.3218 0.3218 0.9919  1 Ir 1.97, 1 Hf 2.10
Cd1 0.5000 0.5000 0.4994  6 O 2.22-2.34
Cd2 0.0000 0.0000 0.9994  6 O 2.22-2.34
Ir1 0.5000 0.5000 0.8334  6 O 1.92-1.97
Ir2 0.0000 0.0000 0.3334  6 O 1.92-1.97
Hf1 0.5000 0.5000 0.1674  6 O 2.06-2.12
Hf2 0.0000 0.0000 0.6674  6 O 2.06-2.12

* DOS at the Fermi energy: 8.87 states/eV per cell
* E: -7.099 eV/atom
* formation energy without anion corrections: -1.60 eV/atom